[1]
## Ac4ZnIn (PBE)

Data for a relaxed structure of Ac4ZnIn.

Its space group is No. 123. The density of states at the Fermi level is 8.47 states/eV per cell. The crystal system is tetragonal. The value obtained for the formation enthalpy at 0 K is -0.048 eV/atom.

Structure (POSCAR):
```
Ac4ZnIn
1.0
-0.821 1.623 -5.214
-2.330 -4.873 -1.150
-7.045 2.892 2.007
Ac Zn In
4 1 1
direct
0.501 0.997 0.260
0.501 0.997 0.736
0.001 0.497 0.736
0.001 0.497 0.260
0.001 0.998 0.498
0.501 0.497 0.998
```


[2]
## Tb4Sm2Sc5 (PBE)

Data for a relaxed structure of Tb4Sm2Sc5.

Its space group is No. 10. The density of states at the Fermi level is 13.98 states/eV per cell. The crystal system is monoclinic. The value obtained for the formation enthalpy at 0 K is 0.139 eV/atom.

Structure (POSCAR):
```
Tb4Sm2Sc5
1.0
-3.092 -1.508 0.209
3.848 -7.759 0.938
-1.558 4.624 10.293
Tb Sm Sc
4 2 5
direct
0.500 0.245 0.723
0.500 0.744 0.848
0.500 0.755 0.277
0.500 0.256 0.152
0.000 0.866 0.593
0.000 0.134 0.407
0.000 0.505 0.371
0.000 0.910 0.101
0.000 0.500 0.000
0.000 0.090 0.899
0.000 0.495 0.629
```


| no. | energy above the lowest structure with this stoichiometry (meV/atom) | magnetic moment (μB/atom) |
| --- | --- | --- |
| 1 | 127.7 | 0.000 |
| 2 | 0.0 | 0.026 |